A plane-wave DFT calculation with PBE-GGA was carried out for crystalline ZnSeBr2N at its relaxed geometry.

Lattice parameters (Å, degrees): 4.550 4.550 4.775 90.00 90.00 90.00
Fractional positions:
N 0.000 0.000 0.000
Br 0.000 0.500 0.000
Br 0.500 0.000 0.000
Se 0.000 0.000 0.500
Zn 0.500 0.500 0.500

- E_form (uncorrected) (eV/f.u.) = 4.59
- SG = No. 123

A plane-wave DFT calculation with PBE-GGA was carried out for crystalline ZnSeBrN2 at its relaxed geometry.

Lattice parameters (Å, degrees): 3.997 3.997 5.986 90.00 90.00 90.00
Fractional positions:
N 0.500 0.000 0.000
N 0.000 0.500 0.000
Se 0.000 0.000 0.500
Br 0.500 0.500 0.500
Zn 0.000 0.000 0.000

- E_form (uncorrected) (eV/f.u.) = 7.50
- SG = No. 123

A plane-wave DFT calculation with PBE-GGA was carried out for crystalline ZnSe2BrN at its relaxed geometry.

Lattice parameters (Å, degrees): 4.984 4.984 5.448 90.00 90.00 90.00
Fractional positions:
N 0.500 0.500 0.500
Zn 0.000 0.000 0.000
Se 0.000 0.500 0.000
Se 0.500 0.000 0.000
Br 0.000 0.000 0.500

- E_form (uncorrected) (eV/f.u.) = 6.42
- SG = No. 123

A plane-wave DFT calculation with PBE-GGA was carried out for crystalline ZnSe2BrN at its relaxed geometry.

Lattice parameters (Å, degrees): 5.327 5.327 3.750 90.00 90.00 90.00
Fractional positions:
Se 0.500 0.000 0.000
Se 0.000 0.500 0.000
N 0.000 0.000 0.500
Br 0.000 0.000 0.000
Zn 0.500 0.500 0.500

- E_form (uncorrected) (eV/f.u.) = 7.10
- SG = No. 123

A plane-wave DFT calculation with PBE-GGA was carried out for crystalline ZnSe2BrN at its relaxed geometry.

Lattice parameters (Å, degrees): 4.526 4.526 4.504 90.00 90.00 90.00
Fractional positions:
Se 0.500 0.000 0.000
Se 0.000 0.500 0.000
Zn 0.500 0.500 0.500
N 0.000 0.000 0.000
Br 0.000 0.000 0.500

- E_form (uncorrected) (eV/f.u.) = 4.64
- SG = No. 123

A plane-wave DFT calculation with PBE-GGA was carried out for crystalline ZrSeBr2N at its relaxed geometry.

Lattice parameters (Å, degrees): 5.435 5.435 5.140 90.00 90.00 90.00
Fractional positions:
N 0.500 0.500 0.500
Se 0.000 0.000 0.500
Br 0.000 0.500 0.000
Br 0.500 0.000 0.000
Zr 0.000 0.000 0.000

- E_form (uncorrected) (eV/f.u.) = 0.88
- SG = No. 123

A plane-wave DFT calculation with PBE-GGA was carried out for crystalline ZrSeBr2N at its relaxed geometry.

Lattice parameters (Å, degrees): 4.584 4.584 4.546 90.00 90.00 90.00
Fractional positions:
Br 0.000 0.500 0.000
Br 0.500 0.000 0.000
N 0.000 0.000 0.000
Se 0.000 0.000 0.500
Zr 0.500 0.500 0.500

- E_form (uncorrected) (eV/f.u.) = 3.60
- SG = No. 123

A plane-wave DFT calculation with PBE-GGA was carried out for crystalline Si3BrN at its relaxed geometry.

Lattice parameters (Å, degrees): 4.371 4.371 4.371 90.00 90.00 90.00
Fractional positions:
Br 0.500 0.500 0.500
Si 0.000 0.000 0.500
Si 0.500 0.000 0.000
Si 0.000 0.500 0.000
N 0.000 0.000 0.000

- E_form (uncorrected) (eV/f.u.) = 5.35
- SG = No. 221

A plane-wave DFT calculation with PBE-GGA was carried out for crystalline SiBrN2 at its relaxed geometry.

Lattice parameters (Å, degrees): 6.293 6.293 6.293 27.01 27.01 27.01
Fractional positions:
Si 0.500 0.500 0.500
Br 0.000 0.000 0.000
N 0.115 0.115 0.115
N 0.885 0.885 0.885

- E_form (uncorrected) (eV/f.u.) = 1.09
- SG = No. 166

A plane-wave DFT calculation with PBE-GGA was carried out for crystalline SiBrN at its relaxed geometry.

Lattice parameters (Å, degrees): 6.838 3.089 3.089 60.00 101.98 101.83
Fractional positions:
Si 0.980 0.618 0.147
Br 0.649 0.519 0.045
N 0.051 0.972 0.502

- E_form (uncorrected) (eV/f.u.) = -1.18
- SG = No. 1

A plane-wave DFT calculation with PBE-GGA was carried out for crystalline SiBrN at its relaxed geometry.

Lattice parameters (Å, degrees): 4.934 5.579 8.997 90.00 90.00 90.00
Fractional positions:
Br 0.590 0.007 0.689
Br 0.090 0.493 0.689
Br 0.090 0.993 0.311
Br 0.590 0.507 0.311
N 0.991 0.129 0.969
N 0.491 0.371 0.969
N 0.491 0.871 0.031
N 0.991 0.629 0.031
Si 0.148 0.902 0.073
Si 0.648 0.598 0.073
Si 0.148 0.402 0.927
Si 0.648 0.098 0.927

- E_form (uncorrected) (eV/f.u.) = -2.88
- SG = No. 29

A plane-wave DFT calculation with PBE-GGA was carried out for crystalline SiBrN2 at its relaxed geometry.

Lattice parameters (Å, degrees): 5.100 5.100 5.535 62.57 62.57 90.00
Fractional positions:
N 0.875 0.729 0.750
N 0.271 0.625 0.250
N 0.479 0.125 0.250
N 0.375 0.521 0.750
Br 0.000 0.000 0.000
Br 0.750 0.250 0.500
Si 0.500 0.500 0.000
Si 0.250 0.750 0.500

- E_form (uncorrected) (eV/f.u.) = 2.01
- SG = No. 122

Which value of E_form (uncorrected) does entry 1 give? 4.59 eV/f.u.